1.
Computed, not measured: crystalline Mg5Ni at its relaxed geometry at the GGA-PBE level of DFT.

Unit cell a=3.3404 b=7.7784 c=9.3256 alpha=90.00 beta=90.00 gamma=90.00
With the nearest neighbours (Å) after each atom.
Sites, in units of the cell vectors:
Mg1 0.0000 0.4315 0.2500  1 Ni 3.03, 8 Mg 3.12-3.34
Mg2 0.0000 0.5685 0.7500  1 Ni 3.03, 8 Mg 3.12-3.34
Mg3 0.0000 0.0000 0.0000  2 Ni 2.72, 8 Mg 2.95-3.03
Mg4 0.0000 0.0000 0.5000  2 Ni 2.72, 8 Mg 2.95-3.03
Mg5 0.5000 0.0861 0.2500  2 Ni 2.65, 4 Mg 2.95
Mg6 0.5000 0.9139 0.7500  2 Ni 2.65, 4 Mg 2.95
Mg7 0.5000 0.6842 0.0627  2 Ni 2.64
Mg8 0.5000 0.3158 0.9373  2 Ni 2.64
Mg9 0.5000 0.6842 0.4373  2 Ni 2.64
Mg10 0.5000 0.3158 0.5627  2 Ni 2.64
Ni1 0.0000 0.8210 0.2500  8 Mg 2.64-2.72
Ni2 0.0000 0.1790 0.7500  8 Mg 2.64-2.72

Computed properties:
The total magnetization is 0.0 μB per cell. Its energy is -2.33 eV/atom. The calculation puts the density of states at the Fermi level at 3.766 states/eV/cell. As for the energy of formation from the pure elements: -0.041 eV/atom. The space-group type is Pmma, No. 51.

2.
Computed, not measured: crystalline Mg2Ni17 at its relaxed geometry at the GGA-PBE level of DFT.

Unit cell a=6.1819 b=6.1819 c=6.1819 alpha=82.50 beta=82.50 gamma=82.50
With the nearest neighbours (Å) after each atom.
Sites, in units of the cell vectors:
Mg1 0.3395 0.3395 0.3395  19 Ni 2.87-3.14
Mg2 0.6605 0.6605 0.6605  19 Ni 2.87-3.14
Ni1 0.6517 0.6517 0.1547  9 Ni 2.36-2.56
Ni2 0.1547 0.6517 0.6517  9 Ni 2.36-2.56
Ni3 0.9006 0.9006 0.9006  7 Ni 2.39-2.56
Ni4 0.0994 0.0994 0.0994  7 Ni 2.39-2.56
Ni5 0.0000 0.0000 0.5000  10 Ni 2.36-2.49
Ni6 0.0000 0.5000 0.0000  10 Ni 2.36-2.49
Ni7 0.5000 0.0000 0.0000  10 Ni 2.36-2.49
Ni8 0.2991 0.7009 0.0000  8 Ni 2.36-2.50
Ni9 0.7009 0.0000 0.2991  8 Ni 2.36-2.50
Ni10 0.0000 0.2991 0.7009  8 Ni 2.36-2.50
Ni11 0.7009 0.2991 0.0000  8 Ni 2.36-2.50
Ni12 0.2991 0.0000 0.7009  8 Ni 2.36-2.50
Ni13 0.0000 0.7009 0.2991  8 Ni 2.36-2.50
Ni14 0.8453 0.3483 0.3483  9 Ni 2.36-2.56
Ni15 0.3483 0.3483 0.8453  9 Ni 2.36-2.56
Ni16 0.3483 0.8453 0.3483  9 Ni 2.36-2.56
Ni17 0.6517 0.1547 0.6517  9 Ni 2.36-2.56

Computed properties:
The total magnetization is 8.9 μB per cell. Its energy is -5.33 eV/atom. The calculation puts the density of states at the Fermi level at 29.828 states/eV/cell. As for the energy of formation from the pure elements: 0.012 eV/atom. The space-group type is R-3m, No. 166.